Entry from Alexandria via LeMat-Bulk: a relaxed structure of Ac4AgOs (PBE-GGA).

```
12
Lattice="7.3933 -0.1697 0.0000 -1.4384 7.8436 0.0000 -2.9775 -3.8369 7.9981" Properties=species:S:1:pos:R:3 pbc="T T T"
Ac -0.9428 5.1460 4.7015
Ac -1.1186 5.9970 0.6969
Ac -0.2236 1.2242 3.2965
Ac -0.3994 2.0752 7.3012
Ac 3.9203 -1.3090 3.2965
Ac 3.2010 2.6128 4.7015
Ac 4.0961 -2.1600 7.3012
Ac 3.3769 1.7618 0.6969
Ag 1.1291 3.8794 1.9161
Ag 1.8483 -0.0424 6.0820
Os 5.5450 -0.1273 1.2593
Os -2.5676 3.9642 6.7388
```

Properties
Mass density (g/cm³): 8.67
Offset from the most stable computed form (meV per atom): 23
Spin magnetization (μB/cell): 0.0